Tl2ZnGaSn2 | PBE | optimized geometry

a = 19.543 Å, b = 5.798 Å, c = 5.914 Å
α = 90.00°, β = 107.48°, γ = 90.00°
Space group C2/c (No. 15)
One atom of each set of equivalent atoms:
1 Tl 0.194 0.236 0.195
2 Zn 0.000 0.499 0.250
3 Ga 0.000 0.000 0.250
4 Sn 0.107 0.262 0.608

Summary:
Uncorrected energy ... -2.7929 eV per atom
Formation energy ... 47 meV per atom
Crystal system ... monoclinic

---

Tm2GaSn | PBE | optimized geometry

a = 5.926 Å, b = 4.107 Å, c = 8.566 Å
α = 90.00°, β = 107.85°, γ = 90.00°
Space group P2_1/m (No. 11)
One atom of each set of equivalent atoms:
1 Tm 0.196 0.250 0.426
2 Tm 0.279 0.750 0.063
3 Ga 0.119 0.250 0.793
4 Sn 0.379 0.750 0.710

Summary:
Uncorrected energy ... -4.6577 eV per atom
Formation energy ... -665 meV per atom
Crystal system ... monoclinic

---

TmGa2Sn2 | PBE | optimized geometry

a = 4.818 Å, b = 22.254 Å, c = 4.222 Å
α = 90.00°, β = 90.00°, γ = 90.00°
Space group Cmcm (No. 63)
One atom of each set of equivalent atoms:
1 Tm 0.000 0.137 0.250
2 Ga 0.000 0.036 0.750
3 Ga 0.000 0.461 0.750
4 Sn 0.000 0.250 0.750
5 Sn 0.000 0.366 0.250

Summary:
Uncorrected energy ... -3.9915 eV per atom
Formation energy ... -285 meV per atom
Crystal system ... orthorhombic

---

Tm4Ga2Sn | PBE | optimized geometry

a = 6.398 Å, b = 9.469 Å, c = 5.758 Å
α = 90.00°, β = 90.00°, γ = 90.00°
Space group Pmmn (No. 59, origin choice 2)
One atom of each set of equivalent atoms:
1 Tm 0.003 0.250 0.097
2 Tm 0.250 0.564 0.361
3 Ga 0.250 0.012 0.861
4 Sn 0.250 0.250 0.576

Summary:
Uncorrected energy ... -4.4864 eV per atom
Formation energy ... -495 meV per atom
Crystal system ... orthorhombic

---

Tm2GaSn | PBE | optimized geometry

a = 4.792 Å, b = 4.792 Å, c = 4.176 Å
α = 90.00°, β = 90.00°, γ = 90.00°
Space group P4/mmm (No. 123)
One atom of each set of equivalent atoms:
1 Tm 0.000 0.500 0.000
2 Ga 0.000 0.000 0.500
3 Sn 0.500 0.500 0.500

Summary:
Uncorrected energy ... -4.5454 eV per atom
Formation energy ... -552 meV per atom
Crystal system ... tetragonal

---

TmGaSn2 | PBE | optimized geometry

a = 4.451 Å, b = 4.451 Å, c = 9.505 Å
α = 90.00°, β = 90.00°, γ = 90.00°
Space group P4/nmm (No. 129, origin choice 2)
One atom of each set of equivalent atoms:
1 Tm 0.250 0.250 0.246
2 Ga 0.250 0.750 0.000
3 Sn 0.250 0.250 0.790
4 Sn 0.250 0.750 0.500

Summary:
Uncorrected energy ... -4.2544 eV per atom
Formation energy ... -378 meV per atom
Crystal system ... tetragonal